No. 1
Compound: Y2LuNi
Source: Alexandria
Functional: GGA-PBE
Structure: optimized geometry

abc: 3.462 3.462 8.484
angles: 90.00 90.00 90.00
Space group P4/mmm (No. 123)
One atom of each set of equivalent atoms:
Y 0.000 0.000 0.192 x2
Lu 0.500 0.500 0.500 x1
Ni 0.500 0.500 0.000 x1

Summary:
magnetization: 0.0 μB per cell
crystal system: tetragonal
polymorph energy (0 for the lowest one): 0.000 eV/atom
uncorrected energy: -0.2183 Ha/atom
formation enthalpy at 0 K: -132 meV/atom



No. 2
Compound: LuZn2Ni
Source: Alexandria
Functional: GGA-PBE
Structure: optimized geometry

abc: 3.181 3.181 6.490
angles: 90.00 90.00 90.00
Space group P4/mmm (No. 123)
One atom of each set of equivalent atoms:
Lu 0.000 0.000 0.000 x1
Zn 0.500 0.500 0.305 x2
Ni 0.000 0.000 0.500 x1

Summary:
magnetization: 0.0 μB per cell
crystal system: tetragonal
uncorrected energy: -0.1261 Ha/atom
formation enthalpy at 0 K: -219 meV/atom



No. 3
Compound: LuZnNi2
Source: Alexandria
Functional: GGA-PBE
Structure: optimized geometry

abc: 3.246 3.246 5.725
angles: 90.00 90.00 90.00
Space group P4/mmm (No. 123)
One atom of each set of equivalent atoms:
Lu 0.000 0.000 0.000 x1
Zn 0.000 0.000 0.500 x1
Ni 0.500 0.500 0.283 x2

Summary:
magnetization: 0.0 μB per cell
crystal system: tetragonal
uncorrected energy: -0.1716 Ha/atom
formation enthalpy at 0 K: -330 meV/atom